(i)
{"formula": "Mg3CuF", "functional": "GGA-PBE", "state": "relaxed", "vol_a3_per_atom": 16.6, "lattice_angstrom": [[-0.652, 3.575, -2.405], [-2.705, 1.553, 3.043], [3.354, 1.948, 1.986]], "species": ["Mg", "Mg", "Mg", "Cu", "F"], "fractional_positions": [[0.000, 0.500, 0.000], [0.000, 0.000, 0.500], [0.500, 0.000, 0.000], [0.500, 0.500, 0.500], [0.000, 0.000, 0.000]]}

(ii)
{"formula": "Mg3CuF", "functional": "GGA-PBE", "state": "relaxed", "vol_a3_per_atom": 23.2, "lattice_angstrom": [[4.876, 0.000, 0.000], [0.000, 4.876, 0.000], [0.000, 0.000, 4.876]], "species": ["Mg", "Mg", "Mg", "Cu", "F"], "fractional_positions": [[0.000, 0.500, 0.000], [0.000, 0.000, 0.500], [0.500, 0.000, 0.000], [0.000, 0.000, 0.000], [0.500, 0.500, 0.500]]}

Stability check: which of them is least stable? (ii).

(i)
{"formula": "Mg2Cu2F", "functional": "GGA-PBE", "state": "relaxed", "vol_a3_per_atom": 15.4, "lattice_angstrom": [[5.891, 0.000, 0.000], [0.000, 5.891, 0.000], [0.000, 0.000, 4.442]], "species": ["Mg", "Mg", "Mg", "Mg", "Cu", "Cu", "Cu", "Cu", "F", "F"], "fractional_positions": [[0.323, 0.823, 0.000], [0.823, 0.677, 0.000], [0.677, 0.177, 0.000], [0.177, 0.323, 0.000], [0.138, 0.638, 0.500], [0.638, 0.862, 0.500], [0.862, 0.362, 0.500], [0.362, 0.138, 0.500], [0.000, 0.000, 0.000], [0.500, 0.500, 0.000]]}

(ii)
{"formula": "Mg2Cu2F", "functional": "GGA-PBE", "state": "relaxed", "vol_a3_per_atom": 16.2, "lattice_angstrom": [[3.311, 0.000, 0.000], [0.000, 3.311, 0.000], [1.655, 1.655, 7.393]], "species": ["Mg", "Mg", "Cu", "Cu", "F"], "fractional_positions": [[0.395, 0.395, 0.209], [0.605, 0.605, 0.791], [0.750, 0.250, 0.500], [0.250, 0.750, 0.500], [0.000, 0.000, 0.000]]}

Stability check: which of them is least stable? (ii).

(i)
{"formula": "MgCuF4", "functional": "GGA-PBE", "state": "relaxed", "vol_a3_per_atom": 13.1, "lattice_angstrom": [[-2.457, -2.012, -0.101], [2.147, -0.365, 4.997], [-3.321, 4.099, -0.867]], "species": ["Mg", "Cu", "F", "F", "F", "F"], "fractional_positions": [[0.500, 0.000, 0.500], [0.000, 0.000, 0.000], [0.396, 0.792, 0.075], [0.103, 0.205, 0.430], [0.604, 0.208, 0.925], [0.897, 0.795, 0.570]]}

(ii)
{"formula": "MgCuF4", "functional": "GGA-PBE", "state": "relaxed", "vol_a3_per_atom": 10.9, "lattice_angstrom": [[6.179, -0.002, 0.000], [1.978, 5.854, 0.000], [-4.078, -2.926, 3.604]], "species": ["Mg", "Mg", "Cu", "Cu", "F", "F", "F", "F", "F", "F", "F", "F"], "fractional_positions": [[0.250, 0.250, 0.000], [0.750, 0.750, 0.000], [0.500, 0.000, 0.500], [0.000, 0.500, 0.500], [0.444, 0.944, 0.119], [0.175, 0.675, 0.119], [0.556, 0.056, 0.881], [0.056, 0.175, 0.500], [0.825, 0.325, 0.881], [0.325, 0.444, 0.500], [0.944, 0.825, 0.500], [0.675, 0.556, 0.500]]}

Stability check: which of them is least stable? (i).

(i)
{"formula": "Mg2CuF", "functional": "GGA-PBE", "state": "relaxed", "vol_a3_per_atom": 16.0, "lattice_angstrom": [[-4.191, 3.397, -2.966], [-2.428, -5.112, -2.425], [-5.400, -1.122, -0.044]], "species": ["Mg", "Mg", "Mg", "Mg", "Cu", "Cu", "F", "F"], "fractional_positions": [[0.564, 0.125, 0.250], [0.186, 0.625, 0.250], [0.375, 0.436, 0.750], [0.875, 0.814, 0.750], [0.000, 0.000, 0.000], [0.750, 0.250, 0.500], [0.500, 0.500, 0.000], [0.250, 0.750, 0.500]]}

(ii)
{"formula": "Mg2CuF", "functional": "GGA-PBE", "state": "relaxed", "vol_a3_per_atom": 16.1, "lattice_angstrom": [[0.000, 3.180, 3.180], [3.180, 0.000, 3.180], [3.180, 3.180, 0.000]], "species": ["Mg", "Mg", "Cu", "F"], "fractional_positions": [[0.250, 0.250, 0.250], [0.750, 0.750, 0.750], [0.500, 0.500, 0.500], [0.000, 0.000, 0.000]]}

Stability check: which of them is least stable? (ii).